Record 1
# Ge3Cl5F

A relaxed structure of Ge3Cl5F (PBE-GGA, Alexandria via LeMat-Bulk).

Structure (extended XYZ):
```
18
Lattice="6.497 -4.427 0.000 6.497 4.427 0.000 -1.425 0.000 9.674" Properties=species:S:1:pos:R:3 pbc="T T T"
Ge 0.000 0.000 0.000
Ge 0.017 0.000 5.752
Ge 3.848 0.000 3.022
Ge 4.223 0.000 8.528
Ge 7.589 0.000 6.366
Ge 9.156 0.000 2.632
Cl 2.571 1.689 2.017
Cl 3.919 2.751 8.469
Cl 0.576 0.000 8.126
Cl 2.304 0.000 5.324
Cl 6.261 1.706 5.403
Cl 2.571 -1.689 2.017
Cl 5.908 0.000 1.211
Cl 3.919 -2.751 8.469
Cl 6.261 -1.706 5.403
Cl 11.453 0.000 2.817
F 6.076 0.000 8.208
F 8.875 0.000 4.536
```

## Properties
* volume: 278.21 Å³/f.u.
* space group: Cm, No. 8
* final energy: -67.8 eV/cell
* DOS at the Fermi energy: 0.000 states/eV/atom



Record 2
# U3CrSb5

A relaxed structure of U3CrSb5 (PBE-GGA, Alexandria via LeMat-Bulk).

Structure (extended XYZ):
```
18
Lattice="9.098 0.000 0.000 -4.549 7.879 0.000 0.000 0.000 6.136" Properties=species:S:1:pos:R:3 pbc="T T T"
U -1.771 3.068 1.534
U -2.778 4.811 4.602
U 3.543 0.000 1.534
U 1.771 3.068 4.602
U 5.556 0.000 4.602
U 2.778 4.811 1.534
Cr 0.000 0.000 0.000
Cr 0.000 0.000 3.068
Sb -1.170 2.027 4.602
Sb -3.379 5.853 1.534
Sb 2.340 0.000 4.602
Sb 1.170 2.027 1.534
Sb 0.000 5.253 0.000
Sb 0.000 5.253 3.068
Sb 4.549 2.626 0.000
Sb 4.549 2.626 3.068
Sb 6.758 0.000 1.534
Sb 3.379 5.853 4.602
```

## Properties
* volume: 219.93 Å³/f.u.
* space group: P6_3/mcm, No. 193
* final energy: -132.5 eV/cell
* DOS at the Fermi energy: 1.803 states/eV/atom



Record 3
# HoScGa

A relaxed structure of HoScGa (PBE-GGA, Alexandria via LeMat-Bulk).

Structure (extended XYZ):
```
6
Lattice="4.305 0.000 0.000 0.000 4.305 0.000 0.000 0.000 7.722" Properties=species:S:1:pos:R:3 pbc="T T T"
Ho 1.076 1.076 1.115
Ho 3.228 3.228 6.607
Sc 1.076 3.228 3.861
Sc 3.228 1.076 3.861
Ga 1.076 1.076 5.825
Ga 3.228 3.228 1.897
```

## Properties
* volume: 71.54 Å³/f.u.
* E_form: -1.314 eV per formula unit
* space group: P4/nmm, No. 129
* final energy: -30.5 eV/cell
* DOS at the Fermi energy: 0.913 states/eV/atom



Record 4
# Sr3Sn4Pt4

A relaxed structure of Sr3Sn4Pt4 (PBE-GGA, Alexandria via LeMat-Bulk).

Structure (extended XYZ):
```
11
Lattice="-2.336 2.346 13.183 2.336 -2.346 13.183 2.336 2.346 -13.183" Properties=species:S:1:pos:R:3 pbc="T T T"
Sr 0.000 0.000 0.000
Sr 2.336 0.000 9.219
Sr 0.000 2.346 3.964
Sn 2.336 0.000 5.264
Sn 0.000 0.000 11.761
Sn 0.000 0.000 14.606
Sn 0.000 2.346 7.919
Pt 2.336 0.000 2.623
Pt 0.000 0.000 6.561
Pt 0.000 0.000 19.805
Pt 0.000 2.346 10.560
```

## Properties
* volume: 289.02 Å³/f.u.
* E_form: -8.493 eV per formula unit
* space group: Immm, No. 71
* final energy: -53.7 eV/cell
* DOS at the Fermi energy: 0.528 states/eV/atom



Record 5
# Re3SiPb

A relaxed structure of Re3SiPb (PBE-GGA, Alexandria via LeMat-Bulk).

Structure (extended XYZ):
```
5
Lattice="4.976 0.000 0.000 0.000 4.976 0.000 0.000 0.000 4.976" Properties=species:S:1:pos:R:3 pbc="T T T"
Re 0.000 0.000 2.488
Re 0.000 2.488 0.000
Re 2.488 0.000 0.000
Si 2.488 2.488 2.488
Pb 0.000 0.000 0.000
```

## Properties
* volume: 123.22 Å³/f.u.
* space group: Pm-3m, No. 221
* final energy: -29.2 eV/cell
* DOS at the Fermi energy: 1.132 states/eV/atom



Record 6
# YRuPb2O6

A relaxed structure of YRuPb2O6 (PBE-GGA, Alexandria via LeMat-Bulk).

Structure (extended XYZ):
```
20
Lattice="5.857 0.000 0.000 0.000 5.888 0.000 -5.809 0.000 8.290" Properties=species:S:1:pos:R:3 pbc="T T T"
Y 0.000 0.000 0.000
Y -2.905 2.944 4.145
Ru 0.024 0.000 4.145
Ru 2.928 2.944 0.000
Pb -2.843 0.178 6.232
Pb 0.061 2.766 2.087
Pb -0.014 3.122 6.203
Pb 2.891 5.710 2.058
O -0.449 0.102 2.219
O -3.354 2.842 6.364
O 1.358 4.113 0.351
O -1.546 4.719 4.496
O 1.798 1.342 0.342
O -1.106 1.602 4.487
O 1.154 4.286 3.803
O -1.751 4.546 7.948
O 1.594 1.169 3.794
O -1.311 1.775 7.939
O 3.401 3.046 1.926
O 0.497 5.786 6.071
```

## Properties
* volume: 142.94 Å³/f.u.
* space group: P2_1/c, No. 14
* final energy: -138.4 eV/cell
* DOS at the Fermi energy: 0.249 states/eV/atom



Record 7
# LaBe3Pt

A relaxed structure of LaBe3Pt (PBE-GGA, Alexandria via LeMat-Bulk).

Structure (extended XYZ):
```
10
Lattice="4.403 0.000 0.000 -2.201 3.813 0.000 0.000 0.000 9.026" Properties=species:S:1:pos:R:3 pbc="T T T"
La 0.000 2.542 2.257
La 2.201 1.271 6.770
Be 0.000 0.000 2.257
Be 0.000 0.000 6.770
Be 0.000 2.542 5.171
Be 0.000 2.542 8.368
Be 2.201 1.271 0.658
Be 2.201 1.271 3.855
Pt 0.000 0.000 0.000
Pt 0.000 0.000 4.513
```

## Properties
* volume: 75.77 Å³/f.u.
* E_form: -0.841 eV per formula unit
* space group: P6_3/mmc, No. 194
* final energy: -46.0 eV/cell
* DOS at the Fermi energy: 0.705 states/eV/atom



Record 8
# MgIn6Pb3

A relaxed structure of MgIn6Pb3 (PBE-GGA, Alexandria via LeMat-Bulk).

Structure (extended XYZ):
```
10
Lattice="6.010 0.000 0.000 -3.005 5.205 0.000 0.000 0.000 9.435" Properties=species:S:1:pos:R:3 pbc="T T T"
Mg 0.000 0.000 0.000
In -1.165 2.017 7.607
In -1.841 3.188 1.829
In 2.329 0.000 7.607
In 1.165 2.017 1.829
In 3.681 0.000 1.829
In 1.841 3.188 7.607
Pb 0.000 0.000 4.718
Pb 0.000 3.470 4.718
Pb 3.005 1.735 4.718
```

## Properties
* volume: 295.19 Å³/f.u.
* E_form: 0.788 eV per formula unit
* space group: P-31m, No. 162
* final energy: -28.4 eV/cell
* DOS at the Fermi energy: 0.667 states/eV/atom



Record 9
# Y2BeSi3Ni4

A relaxed structure of Y2BeSi3Ni4 (PBE-GGA, Alexandria via LeMat-Bulk).

Structure (extended XYZ):
```
10
Lattice="3.942 0.000 0.000 0.000 3.942 0.000 0.000 0.000 9.418" Properties=species:S:1:pos:R:3 pbc="T T T"
Y 0.000 1.971 2.304
Y 1.971 0.000 7.114
Be 1.971 1.971 0.000
Si 0.000 0.000 0.000
Si 0.000 1.971 5.961
Si 1.971 0.000 3.457
Ni 0.000 0.000 4.709
Ni 0.000 1.971 8.266
Ni 1.971 0.000 1.152
Ni 1.971 1.971 4.709
```

## Properties
* volume: 146.33 Å³/f.u.
* space group: P-4m2, No. 115
* final energy: -63.6 eV/cell
* DOS at the Fermi energy: 0.657 states/eV/atom



Record 10
# Ac2In6Cu

A relaxed structure of Ac2In6Cu (PBE-GGA, Alexandria via LeMat-Bulk).

Structure (extended XYZ):
```
9
Lattice="4.193 0.000 0.000 0.000 2.382 13.231 0.000 -2.382 13.231" Properties=species:S:1:pos:R:3 pbc="T T T"
Ac 0.000 0.000 0.000
Ac 0.000 0.000 8.678
In 0.000 0.000 16.246
In 0.000 0.000 19.267
In 2.097 0.000 2.813
In 2.097 0.000 5.735
In 2.097 0.000 11.737
In 2.097 0.000 23.295
Cu 2.097 0.000 14.422
```

## Properties
* volume: 264.33 Å³/f.u.
* E_form: -2.023 eV per formula unit
* space group: Amm2, No. 38
* final energy: -30.8 eV/cell
* DOS at the Fermi energy: 0.846 states/eV/atom



Record 11
# Zr9Sc4In11

A relaxed structure of Zr9Sc4In11 (PBE-GGA, Alexandria via LeMat-Bulk).

Structure (extended XYZ):
```
24
Lattice="7.419 -11.507 0.000 7.419 11.507 0.000 0.000 0.000 3.176" Properties=species:S:1:pos:R:3 pbc="T T T"
Zr 0.000 0.000 0.000
Zr 5.840 6.451 0.000
Zr 5.847 2.193 0.000
Zr 8.997 6.451 0.000
Zr 5.847 -2.193 0.000
Zr 8.990 2.193 0.000
Zr 5.840 -6.451 0.000
Zr 8.990 -2.193 0.000
Zr 8.997 -6.451 0.000
Sc 2.584 1.933 0.000
Sc 2.584 -1.933 0.000
Sc 12.254 1.933 0.000
Sc 12.254 -1.933 0.000
In 4.120 4.230 1.588
In 7.419 8.741 1.588
In 4.304 0.000 1.588
In 7.419 4.326 1.588
In 4.120 -4.230 1.588
In 7.419 0.000 1.588
In 10.718 4.230 1.588
In 7.419 -4.326 1.588
In 10.533 0.000 1.588
In 7.419 -8.741 1.588
In 10.718 -4.230 1.588
```

## Properties
* volume: 542.27 Å³/f.u.
* E_form: -5.761 eV per formula unit
* space group: Cmmm, No. 65
* final energy: -138.1 eV/cell
* DOS at the Fermi energy: 1.001 states/eV/atom



Record 12
# YZn2Rh

A relaxed structure of YZn2Rh (PBE-GGA, Alexandria via LeMat-Bulk).

Structure (extended XYZ):
```
4
Lattice="3.374 0.000 0.000 0.000 4.339 0.000 0.000 0.000 5.283" Properties=species:S:1:pos:R:3 pbc="T T T"
Y 0.000 0.000 0.000
Zn 1.687 0.000 2.551
Zn 1.687 2.169 3.790
Rh 1.687 2.169 1.124
```

## Properties
* volume: 77.34 Å³/f.u.
* E_form: -1.486 eV per formula unit
* space group: Pmm2, No. 25
* final energy: -17.8 eV/cell
* DOS at the Fermi energy: 0.483 states/eV/atom



- Look up the volume of the first one.
  278.21 Å³/f.u.



- Among the records above, which one has the highest DOS at the Fermi energy?
  U3CrSb5